DFT (PBE) results for a relaxed structure of MnCrMo.

Computed properties:
offset from the most stable computed form: 2.52 kcal/mol of atoms
density of states at the Fermi level: 1.023 states/eV per atom
M_tot: 1.11 μB per formula unit
ΔE_f: 12 kJ/mol of atoms

```
12
Lattice="4.168 0.000 0.000 0.000 12.558 0.000 0.000 0.000 2.993" Properties=species:S:1:pos:R:3 pbc="T T T"
Mn 0.000 1.116 0.748
Mn 0.000 11.442 2.245
Mn 2.084 5.163 2.245
Mn 2.084 7.395 0.748
Cr 0.000 3.138 2.245
Cr 0.000 9.419 0.748
Cr 2.084 3.140 0.748
Cr 2.084 9.417 2.245
Mo 0.000 5.190 0.748
Mo 0.000 7.368 2.245
Mo 2.084 1.089 2.245
Mo 2.084 11.469 0.748
```